1.
VASP calculation (GGA-PBE) on a geometry-optimized Sr2CdBi3Pd4 structure.

- Symmetry: P-4m2 (115)
- Energy of formation from the pure elements: -0.58 eV/atom
- Mass density: 8.745 g/cm³

```
Sr2CdBi3Pd4
1.0
4.8237 0.0000 0.0000
0.0000 4.8237 0.0000
0.0000 0.0000 10.9381
Sr Cd Bi Pd
2 1 3 4
direct
0.0000 0.5000 0.2393 Sr
0.5000 0.0000 0.7607 Sr
0.0000 0.0000 0.5000 Cd
0.0000 0.5000 0.8730 Bi
0.5000 0.0000 0.1270 Bi
0.5000 0.5000 0.5000 Bi
0.0000 0.0000 0.0000 Pd
0.0000 0.5000 0.6254 Pd
0.5000 0.0000 0.3746 Pd
0.5000 0.5000 0.0000 Pd
```

***

2.
VASP calculation (GGA-PBE) on a geometry-optimized Sr2CdBi4Pd3 structure.

- Symmetry: P-4m2 (115)
- Energy of formation from the pure elements: -0.53 eV/atom
- Mass density: 8.795 g/cm³

```
Sr2CdBi4Pd3
1.0
4.7838 0.0000 0.0000
0.0000 4.7838 0.0000
0.0000 0.0000 11.9031
Sr Cd Bi Pd
2 1 4 3
direct
0.0000 0.5000 0.2499 Sr
0.5000 0.0000 0.7501 Sr
0.0000 0.0000 0.5000 Cd
0.0000 0.0000 0.0000 Bi
0.0000 0.5000 0.6420 Bi
0.5000 0.0000 0.3580 Bi
0.5000 0.5000 0.0000 Bi
0.0000 0.5000 0.8704 Pd
0.5000 0.0000 0.1296 Pd
0.5000 0.5000 0.5000 Pd
```

***

3.
VASP calculation (GGA-PBE) on a geometry-optimized CdBi2Te2Pd7 structure.

- Symmetry: C2/m (12)
- Mass density: 9.650 g/cm³
- Calculated total energy: -4.59 eV per atom

```
CdBi2Te2Pd7
1.0
2.8701 -2.8714 0.0000
2.8701 2.8714 0.0000
-2.8473 0.0000 15.9781
Cd Bi Te Pd
1 2 2 7
direct
0.0000 0.0000 0.0000 Cd
0.2134 0.2134 0.4285 Bi
0.7866 0.7866 0.5715 Bi
0.3854 0.3854 0.7687 Te
0.6146 0.6146 0.2313 Te
0.0630 0.5629 0.1274 Pd
0.3016 0.3016 0.6031 Pd
0.4371 0.9370 0.8726 Pd
0.5000 0.5000 0.0000 Pd
0.5629 0.0630 0.1274 Pd
0.6984 0.6984 0.3969 Pd
0.9370 0.4371 0.8726 Pd
```

***

4.
VASP calculation (GGA-PBE) on a geometry-optimized Tl2CdBi2Pd7 structure.

- Symmetry: C2/m (12)
- Energy of formation from the pure elements: -0.15 eV/atom
- Mass density: 11.362 g/cm³

```
Tl2CdBi2Pd7
1.0
2.7863 -2.7864 0.0000
2.7863 2.7864 0.0000
-2.7708 0.0000 15.8505
Tl Cd Bi Pd
2 1 2 7
direct
0.1296 0.1296 0.2581 Tl
0.8704 0.8704 0.7419 Tl
0.5000 0.5000 0.0000 Cd
0.3078 0.3078 0.6166 Bi
0.6922 0.6922 0.3834 Bi
0.0000 0.0000 0.0000 Pd
0.0662 0.5664 0.1314 Pd
0.2226 0.2226 0.4441 Pd
0.4336 0.9338 0.8686 Pd
0.5664 0.0662 0.1314 Pd
0.7774 0.7774 0.5559 Pd
0.9338 0.4336 0.8686 Pd
```

***

5.
VASP calculation (GGA-PBE) on a geometry-optimized YCd2BiPd structure.

- Symmetry: P4/mmm (123)
- Energy of formation from the pure elements: 0.41 eV/atom
- Mass density: 6.691 g/cm³

```
YCd2BiPd
1.0
5.5606 0.0000 0.0000
0.0000 5.5606 0.0000
0.0000 0.0000 5.0498
Y Cd Bi Pd
1 2 1 1
direct
0.0000 0.0000 0.0000 Y
0.0000 0.5000 0.5000 Cd
0.5000 0.0000 0.5000 Cd
0.5000 0.5000 0.5000 Bi
0.5000 0.5000 0.0000 Pd
```

***

6.
VASP calculation (GGA-PBE) on a geometry-optimized ZnCdBiPd2 structure.

- Symmetry: P4/mmm (123)
- Energy of formation from the pure elements: 0.66 eV/atom
- Mass density: 6.665 g/cm³

```
ZnCdBiPd2
1.0
5.1767 0.0000 0.0000
0.0000 5.1767 0.0000
0.0000 0.0000 5.5748
Zn Cd Bi Pd
1 1 1 2
direct
0.0000 0.0000 0.0000 Zn
0.5000 0.5000 0.0000 Cd
0.5000 0.5000 0.5000 Bi
0.0000 0.5000 0.5000 Pd
0.5000 0.0000 0.5000 Pd
```

***

7.
VASP calculation (GGA-PBE) on a geometry-optimized ZnCdBi2Pd structure.

- Symmetry: P4/mmm (123)
- Energy of formation from the pure elements: 0.16 eV/atom
- Mass density: 8.215 g/cm³

```
ZnCdBi2Pd
1.0
5.4276 0.0000 0.0000
0.0000 5.4276 0.0000
0.0000 0.0000 4.8183
Zn Cd Bi Pd
1 1 2 1
direct
0.0000 0.0000 0.0000 Zn
0.5000 0.5000 0.0000 Cd
0.0000 0.5000 0.5000 Bi
0.5000 0.0000 0.5000 Bi
0.0000 0.0000 0.5000 Pd
```

***

8.
VASP calculation (GGA-PBE) on a geometry-optimized Pm2CdBi structure.

- Symmetry: P4/mmm (123)
- Energy of formation from the pure elements: -0.55 eV/atom
- Mass density: 8.633 g/cm³
- ΔE to the lowest computed polymorph: 0 kJ/mol of formula units

```
Pm2CdBi
1.0
4.0962 0.0000 0.0000
0.0000 4.0962 0.0000
0.0000 0.0000 7.0090
Pm Cd Bi
2 1 1
direct
0.0000 0.0000 0.2491 Pm
0.0000 0.0000 0.7509 Pm
0.5000 0.5000 0.5000 Cd
0.5000 0.5000 0.0000 Bi
```